[1]
Sm2Cd3Au2 (PBE, relaxed); total moment = 0.00 Bohr magnetons per cell; symmetry = C2/m, No. 12; excess energy over the best structure of this formula in the dataset = 0.0000 eV per atom; DFT formation energy = -0.544 eV/atom
1.0
5.062 -2.334 0.000
5.062 2.334 0.000
-2.389 0.000 7.051
Sm Cd Au
2 3 2
Direct
0.137 0.137 0.282 Sm
0.863 0.863 0.718 Sm
0.380 0.380 0.067 Cd
0.500 0.500 0.500 Cd
0.620 0.620 0.933 Cd
0.167 0.167 0.704 Au
0.833 0.833 0.296 Au


[2]
Sm3Cd7Au2 (PBE, relaxed); total moment = 0.00 Bohr magnetons per cell; symmetry = R-3m, No. 166; DFT formation energy = -0.314 eV/atom
1.0
2.941 1.698 9.565
-2.941 1.698 9.565
0.000 -3.396 9.565
Sm Cd Au
3 7 2
Direct
0.000 0.000 0.000 Sm
0.143 0.143 0.143 Sm
0.857 0.857 0.857 Sm
0.077 0.585 0.585 Cd
0.415 0.415 0.923 Cd
0.415 0.923 0.415 Cd
0.500 0.500 0.500 Cd
0.585 0.077 0.585 Cd
0.585 0.585 0.077 Cd
0.923 0.415 0.415 Cd
0.335 0.335 0.335 Au
0.665 0.665 0.665 Au


[3]
Sm3Cd2Au (PBE, relaxed); total moment = 0.00 Bohr magnetons per cell; symmetry = P-3m1, No. 164; excess energy over the best structure of this formula in the dataset = 0.0162 eV per atom; DFT formation energy = -0.462 eV/atom
1.0
5.315 0.000 0.000
-2.657 4.603 0.000
0.000 0.000 6.523
Sm Cd Au
3 2 1
Direct
0.000 0.000 0.000 Sm
0.333 0.667 0.649 Sm
0.667 0.333 0.351 Sm
0.333 0.667 0.144 Cd
0.667 0.333 0.856 Cd
0.000 0.000 0.500 Au